[1]
Entry from Alexandria via LeMat-Bulk: an optimized crystal structure of Sc2AlW (GGA-PBE).

For the energy of formation, the calculation gives 0.03 eV per atom. The value obtained for the total energy is -7.310 eV per atom.

It has space group P4mm (No. 99), with a = 2.890 Å, b = 2.890 Å, c = 9.096 Å, α = 90.00°, β = 90.00° and γ = 90.00°. The asymmetric unit holds Sc at (0.000, 0.000, 0.000), Sc at (0.500, 0.500, 0.300), Al at (0.500, 0.500, 0.760) and W at (0.000, 0.000, 0.548).



[2]
Entry from Alexandria via LeMat-Bulk: an optimized crystal structure of ScAlW3 (GGA-PBE).

For the energy of formation, the calculation gives 2.32 eV per atom. The value obtained for the total energy is -7.471 eV per atom. As for the distance to the lowest polymorph of the same formula: 0.855 eV per atom.

It has space group Pm-3m (No. 221), with a = 4.623 Å, b = 4.623 Å, c = 4.623 Å, α = 90.00°, β = 90.00° and γ = 90.00°. The asymmetric unit holds Sc at (0.000, 0.000, 0.000), Al at (0.500, 0.500, 0.500) and W at (0.000, 0.000, 0.500).



[3]
Entry from Alexandria via LeMat-Bulk: an optimized crystal structure of ScAlW3 (GGA-PBE).

For the energy of formation, the calculation gives 1.46 eV per atom. The value obtained for the total energy is -8.326 eV per atom. As for the distance to the lowest polymorph of the same formula: 0.000 eV per atom.

It has space group Pm-3m (No. 221), with a = 4.605 Å, b = 4.605 Å, c = 4.605 Å, α = 90.00°, β = 90.00° and γ = 90.00°. The asymmetric unit holds Sc at (0.000, 0.000, 0.000), Al at (0.500, 0.500, 0.500) and W at (0.000, 0.500, 0.500).



[4]
Entry from Alexandria via LeMat-Bulk: an optimized crystal structure of Sc2AlW (GGA-PBE).

For the energy of formation, the calculation gives 0.00 eV per atom. The value obtained for the total energy is -7.338 eV per atom.

It has space group Pm (No. 6), with a = 2.973 Å, b = 4.776 Å, c = 5.615 Å, α = 90.00°, β = 104.50° and γ = 90.00°. The asymmetric unit holds Sc at (0.000, 0.000, 0.000), Sc at (0.317, 0.500, 0.662), Al at (0.714, 0.000, 0.459) and W at (0.599, 0.500, 0.199).



[5]
Entry from Alexandria via LeMat-Bulk: an optimized crystal structure of Sc2AlW (GGA-PBE).

For the energy of formation, the calculation gives 0.56 eV per atom. The value obtained for the total energy is -6.781 eV per atom.

It has space group I-42d (No. 122), with a = 3.927 Å, b = 3.927 Å, c = 20.205 Å, α = 90.00°, β = 90.00° and γ = 90.00°. The asymmetric unit holds Sc at (0.242, 0.250, 0.125), Al at (0.000, 0.000, 0.500) and W at (0.000, 0.000, 0.000).



[6]
Entry from Alexandria via LeMat-Bulk: an optimized crystal structure of ScAlW4 (GGA-PBE).

For the energy of formation, the calculation gives 0.20 eV per atom. The value obtained for the total energy is -10.110 eV per atom.

It has space group F-43m (No. 216), with a = 7.545 Å, b = 7.545 Å, c = 7.545 Å, α = 90.00°, β = 90.00° and γ = 90.00°. The asymmetric unit holds Sc at (0.000, 0.000, 0.000), Al at (0.250, 0.250, 0.750) and W at (0.125, 0.125, 0.375).